A relaxed structure of Ta2CrH. Source: Alexandria, functional GGA-PBE. Values from VASP.

Structure (Quantum ESPRESSO input):
```
&SYSTEM
  ibrav = 0, nat = 4, ntyp = 3
/
ATOMIC_SPECIES
Ta 180.95 Ta.upf
Cr 52.00 Cr.upf
H 1.01 H.upf
CELL_PARAMETERS angstrom
0.000 3.014 3.014
3.014 0.000 3.014
3.014 3.014 0.000
ATOMIC_POSITIONS crystal
Ta 0.250 0.250 0.250
Ta 0.750 0.750 0.750
Cr 0.000 0.000 0.000
H 0.500 0.500 0.500
```

Fermi-level density of states = 3.21 states/eV/cell
Distance to the lowest polymorph of the same formula = 244 meV per atom
SG = Fm-3m, No. 225
E_tot = -8.574 eV/atom